Density functional theory data (PBE) for a geometry-optimized CaHo5 structure.

Cell lengths 5.6789, 17.6412, 3.8723 Å; angles 90.00, 90.00, 90.00 degrees
Last column: nearest neighbours and their distance in Å.
Space group Cmmm (No. 65)
Symmetry-distinct sites (fractional):
Ca1 0.0000 0.0000 0.0000 [2 per cell]  8 Ho 3.36-3.44
Ho1 0.0000 0.1554 0.5000 [4 per cell]  2 Ca 3.36, 6 Ho 3.47-3.48
Ho2 0.0000 0.3193 0.0000 [4 per cell]  12 Ho 3.47-3.87
Ho3 0.0000 0.5000 0.5000 [2 per cell]  4 Ca 3.44, 4 Ho 3.73

Properties
DFT formation energy: 0.90 eV/f.u.
density: 7.403 g cm⁻³
uncorrected energy: -4.00 eV per atom